## NaSmGe2O6 (PBE)

Data for a relaxed structure of NaSmGe2O6.

Cell lengths 7.3468, 7.3468, 5.6396 Å; angles 101.00, 101.00, 86.73 degrees
With the nearest neighbours (Å) after each atom.
Atoms (fractional coordinates):
Na 0.1637 0.8363 0.7500  6 O 2.47-2.70
Na 0.8363 0.1637 0.2500  6 O 2.47-2.70
Sm 0.3843 0.6157 0.2500  6 O 2.25-2.46
Sm 0.6157 0.3843 0.7500  6 O 2.25-2.46
Ge 0.1244 0.2942 0.7524  4 O 1.73-1.82
Ge 0.2942 0.1244 0.2524  4 O 1.73-1.82
Ge 0.7058 0.8756 0.7476  4 O 1.73-1.82
Ge 0.8756 0.7058 0.2476  4 O 1.73-1.82
O 0.1000 0.6294 0.3458  1 Ge 1.73
O 0.1141 0.1730 0.0017  2 Ge 1.82
O 0.1730 0.1141 0.5017  2 Ge 1.82
O 0.3049 0.4538 0.8491  1 Ge 1.76
O 0.3706 0.9000 0.1542  1 Ge 1.73
O 0.4538 0.3049 0.3491  1 Ge 1.76
O 0.5462 0.6951 0.6509  1 Ge 1.76
O 0.6294 0.1000 0.8458  1 Ge 1.73
O 0.6951 0.5462 0.1509  1 Ge 1.76
O 0.8270 0.8859 0.4983  2 Ge 1.82
O 0.8859 0.8270 0.9983  2 Ge 1.82
O 0.9000 0.3706 0.6542  1 Ge 1.73

Computed properties:
Space-group type: C2/c
Spin magnetization: 0.000 Bohr magnetons per cell
E_form (uncorrected): -2.191 eV/atom